Here is an optimized crystal structure of LiTbIn6 from Alexandria. Energies are from PBE.

Results
**DOS at the Fermi energy**: 3.1 states/eV per cell
**ΔH_f (0 K)**: -0.255 eV/atom
**Space group**: P4/mmm, No. 123
**Total magnetic moment**: 0.00 μB per cell

abc: 4.7006 6.4695 6.4695
angles: 89.98 90.00 90.00
Element x y z (fractional)
1 Li 0.5000 0.5000 0.5000
2 Tb 0.5000 0.0000 0.0000
3 In 0.0000 0.7460 0.2540
4 In 0.0000 0.2540 0.7460
5 In 0.0000 0.7458 0.7458
6 In 0.0000 0.2542 0.2542
7 In 0.5000 0.5000 0.0000
8 In 0.5000 0.0000 0.5000